(1)
Density functional theory data (GGA-PBE) for crystalline TbLu3Fe at its relaxed geometry.

a = 5.153 Å, b = 5.153 Å, c = 5.153 Å
α = 90.00°, β = 90.00°, γ = 90.00°
Sites, in units of the cell vectors:
Tb 0.000 0.000 0.000
Lu 0.000 0.500 0.500
Lu 0.500 0.000 0.500
Lu 0.500 0.500 0.000
Fe 0.500 0.500 0.500

Summary:
The size of the total moment comes out at 0.00 μB per cell. Its formation energy is 0.065 eV/atom.

---

(2)
Density functional theory data (GGA-PBE) for crystalline TbLu2Fe at its relaxed geometry.

a = 3.294 Å, b = 3.294 Å, c = 8.825 Å
α = 90.00°, β = 90.00°, γ = 90.00°
Sites, in units of the cell vectors:
Tb 0.000 0.000 0.000
Lu 0.500 0.500 0.323
Lu 0.500 0.500 0.677
Fe 0.000 0.000 0.500

Summary:
The size of the total moment comes out at 0.00 μB per cell. Its formation energy is 0.017 eV/atom.